[1]
Material: Ca2Sb
Method: DFT, GGA-PBEsol
State: relaxed

Output
Total magnetization in μB/atom: 0.000
Volume in Å³/f.u.: 86.1
Raw formation energy in meV/atom: -766.5
Density of states at the Fermi level in states/eV/cell: 4.0

Cell: 5.4171 5.4171 6.7778 Å, 90.00 90.00 120.00°
Last column: nearest neighbours and their distance in Å.
Element x y z (fractional)
Ca: 0.0000 0.0000 0.0000  8 Ca 3.39-3.56, 6 Sb 3.56
Ca: 0.0000 0.0000 0.5000  8 Ca 3.39-3.56, 6 Sb 3.56
Ca: 0.6667 0.3333 0.7500  5 Sb 3.13-3.39
Ca: 0.3333 0.6667 0.2500  5 Sb 3.13-3.39
Sb: 0.3333 0.6667 0.7500  5 Ca 3.13-3.39
Sb: 0.6667 0.3333 0.2500  5 Ca 3.13-3.39

---

[2]
Material: CaScSb4
Method: DFT, GGA-PBEsol
State: relaxed

Output
Total magnetization in μB/atom: 0.003
Volume in Å³/f.u.: 167.4
Raw formation energy in meV/atom: -95.9
Density of states at the Fermi level in states/eV/cell: 5.0

Cell: 6.1868 6.1868 6.1868 Å, 60.00 60.00 60.00°
Last column: nearest neighbours and their distance in Å.
Element x y z (fractional)
Sc: 0.7500 0.7500 0.7500  12 Sb 3.63, 4 Ca 3.79
Sb: 0.3755 0.3755 0.3755  6 Sb 3.08-3.10
Sb: 0.3755 0.3755 0.8736  6 Sb 3.08-3.10
Sb: 0.8736 0.3755 0.3755  6 Sb 3.08-3.10
Sb: 0.3755 0.8736 0.3755  6 Sb 3.08-3.10
Ca: 0.0000 0.0000 0.0000  12 Sb 3.63, 4 Sc 3.79

---

[3]
Material: CaSc2Sb
Method: DFT, GGA-PBEsol
State: relaxed

Output
Total magnetization in μB/atom: 0.000
Volume in Å³/f.u.: 122.8
Raw formation energy in meV/atom: -77.9
Density of states at the Fermi level in states/eV/cell: 3.8

Cell: 3.7495 3.7495 10.3169 Å, 79.53 79.53 60.00°
Last column: nearest neighbours and their distance in Å.
Element x y z (fractional)
Sc: 0.8924 0.8924 0.3227  3 Sb 2.81
Sc: 0.1076 0.1076 0.6773  3 Sb 2.81
Sb: 0.5000 0.5000 0.5000  6 Sc 2.81
Ca: 0.0000 0.0000 0.0000  2 Sc 3.26

---

[4]
Material: CaSc2Sb
Method: DFT, GGA-PBEsol
State: relaxed

Output
Total magnetization in μB/atom: 0.455
Volume in Å³/f.u.: 95.6
Raw formation energy in meV/atom: -200.9
Density of states at the Fermi level in states/eV/cell: 6.6

Cell: 5.1325 5.1325 5.1325 Å, 60.00 60.00 60.00°
Last column: nearest neighbours and their distance in Å.
Element x y z (fractional)
Sc: 0.0000 0.0000 0.0000  4 Sc 3.14, 4 Sb 3.14
Sc: 0.7500 0.7500 0.7500  4 Sc 3.14, 4 Ca 3.14
Sb: 0.2500 0.2500 0.2500  4 Ca 3.14, 4 Sc 3.14
Ca: 0.5000 0.5000 0.5000  4 Sb 3.14, 4 Sc 3.14

---

[5]
Material: CaSc2Sb
Method: DFT, GGA-PBEsol
State: relaxed

Output
Total magnetization in μB/atom: 0.000
Volume in Å³/f.u.: 97.6
Raw formation energy in meV/atom: -403.6
Density of states at the Fermi level in states/eV/cell: 3.5

Cell: 4.1155 4.6235 5.9912 Å, 112.70 110.09 90.00°
Last column: nearest neighbours and their distance in Å.
Element x y z (fractional)
Sc: 0.9795 0.9795 0.9590  2 Sb 3.06, 4 Ca 3.12, 2 Sc 3.32
Sc: 0.7478 0.2478 0.4955  4 Sb 3.10, 4 Sc 3.32-3.44, 4 Ca 3.33-3.42
Sb: 0.2586 0.7586 0.5172  6 Sc 3.06-3.10, 2 Ca 3.24
Ca: 0.5142 0.5142 0.0283  8 Sc 3.12-3.42, 2 Sb 3.24

---

[6]
Material: Ca2SbSe
Method: DFT, GGA-PBEsol
State: relaxed

Output
Total magnetization in μB/atom: 0.000
Volume in Å³/f.u.: 111.3
Raw formation energy in meV/atom: -1391.3
Energy above the lowest structure with this stoichiometry in meV per atom: 0
Density of states at the Fermi level in states/eV/cell: 1.5

Cell: 4.0788 4.0788 8.0732 Å, 75.37 75.37 60.00°
Last column: nearest neighbours and their distance in Å.
Element x y z (fractional)
Sb: 0.5000 0.5000 0.5000  6 Ca 3.19
Ca: 0.2595 0.2595 0.2215  3 Se 2.91, 3 Sb 3.19
Ca: 0.7405 0.7405 0.7785  3 Se 2.91, 3 Sb 3.19
Se: 0.0000 0.0000 0.0000  6 Ca 2.91

---

> total magnetization of number 6 (Ca2SbSe)?

0.000 μB/atom

---

Copy entry 1 word for word.
Material: Ca2Sb
Method: DFT, GGA-PBEsol
State: relaxed

Output
Total magnetization in μB/atom: 0.000
Volume in Å³/f.u.: 86.1
Raw formation energy in meV/atom: -766.5
Density of states at the Fermi level in states/eV/cell: 4.0

Cell: 5.4171 5.4171 6.7778 Å, 90.00 90.00 120.00°
Last column: nearest neighbours and their distance in Å.
Element x y z (fractional)
Ca: 0.0000 0.0000 0.0000  8 Ca 3.39-3.56, 6 Sb 3.56
Ca: 0.0000 0.0000 0.5000  8 Ca 3.39-3.56, 6 Sb 3.56
Ca: 0.6667 0.3333 0.7500  5 Sb 3.13-3.39
Ca: 0.3333 0.6667 0.2500  5 Sb 3.13-3.39
Sb: 0.3333 0.6667 0.7500  5 Ca 3.13-3.39
Sb: 0.6667 0.3333 0.2500  5 Ca 3.13-3.39